Entry 1:
{
  "formula": "Sr2In3Bi2",
  "functional": "GGA-PBE",
  "state": "optimized geometry",
  "formation_energy_ev_per_fu": -2.82,
  "cell": [[11.7367, 0.0000, 0.0000], [0.0000, 5.5174, 0.0000], [-1.6893, 0.0000, 7.1781]],
  "species": ["Sr", "Sr", "Sr", "Sr", "In", "In", "In", "In", "In", "In", "Bi", "Bi", "Bi", "Bi"],
  "frac_coords": [[0.1382, 0.0000, 0.2597], [0.3618, 0.5000, 0.7403], [0.6382, 0.5000, 0.2597], [0.8618, 0.0000, 0.7403], [0.0000, 0.5000, 0.5000], [0.1031, 0.5000, 0.9159], [0.3969, 0.0000, 0.0841], [0.5000, 0.0000, 0.5000], [0.6031, 0.0000, 0.9159], [0.8969, 0.5000, 0.0841], [0.1618, 0.0000, 0.7446], [0.3382, 0.5000, 0.2554], [0.6618, 0.5000, 0.7446], [0.8382, 0.0000, 0.2554]]
}

---

Entry 2:
{
  "formula": "SrAg2Os",
  "functional": "GGA-PBE",
  "state": "optimized geometry",
  "relative_energy_mev_per_atom": 45,
  "formation_energy_ev_per_fu": 2.59,
  "cell": [[3.0603, 0.0000, 0.0000], [0.0000, 3.0603, 0.0000], [0.0000, 0.0000, 8.7317]],
  "species": ["Sr", "Ag", "Ag", "Os"],
  "frac_coords": [[0.0000, 0.0000, 0.0000], [0.0000, 0.0000, 0.5266], [0.5000, 0.5000, 0.3024], [0.5000, 0.5000, 0.7388]]
}

---

Entry 3:
{
  "formula": "Tl2InSn3",
  "functional": "GGA-PBE",
  "state": "optimized geometry",
  "relative_energy_mev_per_atom": 91,
  "formation_energy_ev_per_fu": 0.66,
  "cell": [[7.0757, -4.0436, 0.0000], [7.0757, 4.0436, 0.0000], [0.0000, 0.0000, 6.6341]],
  "species": ["Tl", "Tl", "Tl", "Tl", "In", "In", "Sn", "Sn", "Sn", "Sn", "Sn", "Sn"],
  "frac_coords": [[0.0127, 0.3325, 0.2500], [0.3325, 0.0127, 0.7500], [0.6675, 0.9873, 0.2500], [0.9873, 0.6675, 0.7500], [0.3224, 0.6776, 0.2500], [0.6776, 0.3224, 0.7500], [0.0000, 0.0000, 0.0000], [0.0000, 0.0000, 0.5000], [0.3488, 0.3488, 0.0000], [0.3488, 0.3488, 0.5000], [0.6512, 0.6512, 0.0000], [0.6512, 0.6512, 0.5000]]
}

---

Entry 4:
{
  "formula": "BaFeOs2",
  "functional": "GGA-PBE",
  "state": "optimized geometry",
  "relative_energy_mev_per_atom": 1015,
  "formation_energy_ev_per_fu": 5.41,
  "cell": [[2.9529, 0.0000, 0.0000], [0.0000, 4.7307, 0.0000], [0.0000, 0.0000, 5.2867]],
  "species": ["Ba", "Fe", "Os", "Os"],
  "frac_coords": [[0.0000, 0.0000, 0.0000], [0.5000, 0.5000, 0.0000], [0.0000, 0.5000, 0.5000], [0.5000, 0.0000, 0.5000]]
}

---

Entry 5:
{
  "formula": "Nd8ZnCo2",
  "functional": "GGA-PBE",
  "state": "optimized geometry",
  "formation_energy_ev_per_fu": 0.25,
  "cell": [[4.2313, -6.8476, 0.0000], [4.2313, 6.8476, 0.0000], [-1.6135, 0.0000, 5.4741]],
  "species": ["Nd", "Nd", "Nd", "Nd", "Nd", "Nd", "Nd", "Nd", "Zn", "Co", "Co"],
  "frac_coords": [[0.0852, 0.3393, 0.5612], [0.2383, 0.7617, 0.0000], [0.3393, 0.0852, 0.5612], [0.3876, 0.3876, 0.1863], [0.6124, 0.6124, 0.8137], [0.6607, 0.9148, 0.4388], [0.7617, 0.2383, 0.0000], [0.9148, 0.6607, 0.4388], [0.0000, 0.0000, 0.0000], [0.2858, 0.7142, 0.5000], [0.7142, 0.2858, 0.5000]]
}

---

Entry 6:
{
  "formula": "NaThB2O6",
  "functional": "GGA-PBE",
  "state": "optimized geometry",
  "raw_formation_energy_ev_per_atom": -2.56,
  "cell": [[3.7970, -5.2511, 0.0000], [3.7970, 5.2511, 0.0000], [-1.9211, 0.0000, 7.0964]],
  "species": ["Na", "Na", "Th", "Th", "B", "B", "B", "B", "O", "O", "O", "O", "O", "O", "O", "O", "O", "O", "O", "O"],
  "frac_coords": [[0.1033, 0.8967, 0.7500], [0.8967, 0.1033, 0.2500], [0.4177, 0.5823, 0.2500], [0.5823, 0.4177, 0.7500], [0.1282, 0.4142, 0.7676], [0.4142, 0.1282, 0.2676], [0.5858, 0.8718, 0.7324], [0.8718, 0.5858, 0.2324], [0.0531, 0.5226, 0.2664], [0.1663, 0.2453, 0.6567], [0.2453, 0.1663, 0.1567], [0.3048, 0.5331, 0.9206], [0.4669, 0.6952, 0.5794], [0.4774, 0.9469, 0.2336], [0.5226, 0.0531, 0.7664], [0.5331, 0.3048, 0.4206], [0.6952, 0.4669, 0.0794], [0.7547, 0.8337, 0.8433], [0.8337, 0.7547, 0.3433], [0.9469, 0.4774, 0.7336]]
}

---

Entry 7:
{
  "formula": "PrGaSb",
  "functional": "GGA-PBE",
  "state": "optimized geometry",
  "relative_energy_mev_per_atom": 135,
  "raw_formation_energy_ev_per_atom": -0.46,
  "cell": [[4.9173, 0.0000, 0.0000], [0.0000, 4.1054, 0.0000], [-0.5618, 0.0000, 8.0327]],
  "species": ["Pr", "Pr", "Ga", "Ga", "Sb", "Sb"],
  "frac_coords": [[0.2379, 0.2500, 0.1879], [0.7621, 0.7500, 0.8121], [0.2687, 0.2500, 0.8132], [0.7313, 0.7500, 0.1868], [0.2465, 0.7500, 0.5103], [0.7535, 0.2500, 0.4897]]
}

---

Entry 8:
{
  "formula": "SbTe2HPb",
  "functional": "GGA-PBE",
  "state": "optimized geometry",
  "relative_energy_mev_per_atom": 0,
  "cell": [[5.7234, 0.0000, 0.0000], [0.0000, 5.7234, 0.0000], [0.0000, 0.0000, 3.8347]],
  "species": ["Sb", "Te", "Te", "H", "Pb"],
  "frac_coords": [[0.0000, 0.0000, 0.0000], [0.0000, 0.5000, 0.5000], [0.5000, 0.0000, 0.5000], [0.0000, 0.0000, 0.5000], [0.5000, 0.5000, 0.0000]]
}

---

Number 1: E_tot -22.2 eV/f.u.. Number 2: E_tot -16.0 eV/f.u.. Number 3: E_tot -18.8 eV/f.u.. Number 4: E_tot -27.4 eV/f.u.. Number 5: E_tot -53.4 eV/f.u.. Number 6: E_tot -77.4 eV/f.u.. Number 7: E_tot -13.3 eV/f.u.. Number 8: E_tot -16.3 eV/f.u..